Computed, not measured: a relaxed structure of GdYC5 at the GGA-PBE level of DFT.

Cell: 3.3330 6.9891 6.9891 Å, 32.78 90.00 90.00°
Last column: nearest neighbours and their distance in Å.
Sites, in units of the cell vectors:
C: 0.5000 0.5996 0.5996  2 C 1.33-1.36
C: 0.5000 0.4014 0.4014  2 C 1.33-1.36
C: 0.5000 0.3001 0.3001  1 C 1.36
C: 0.5000 0.7009 0.7009  1 C 1.36
C: 0.5000 0.5006 0.5006  2 C 1.33
Y: 0.0000 0.8452 0.8452  10 C 2.55-2.69
Gd: 0.0000 0.1521 0.1521  10 C 2.59-2.68

The final energy comes out at -7.9045 eV per atom. The value obtained for the total moment is 0.001 μB/atom. As for the symmetry: No. 38.